1.
The following is a DFT calculation (PBE) of a geometry-optimized Ce3HoTl4Se8 structure.

a b c (Å): 9.196 9.196 9.196
angles (deg): 55.80 55.80 55.80
Fractional positions:
Ce  0.000  0.500  0.500
Ce  0.500  0.000  0.500
Ce  0.500  0.500  0.000
Ho  0.000  0.000  0.000
Tl  0.000  0.000  0.500
Tl  0.000  0.500  0.000
Tl  0.500  0.000  0.000
Tl  0.500  0.500  0.500
Se  0.231  0.231  0.744
Se  0.231  0.744  0.231
Se  0.256  0.769  0.769
Se  0.263  0.263  0.263
Se  0.737  0.737  0.737
Se  0.744  0.231  0.231
Se  0.769  0.256  0.769
Se  0.769  0.769  0.256

Summary:
symmetry: R-3m, No. 166
uncorrected formation energy: -2055 kJ/mol of formula units
calculated total energy: -5.06 eV per atom
total magnetic moment: 3.01 μB/f.u.



2.
The following is a DFT calculation (PBE) of a geometry-optimized Ce2HoTl3Se6 structure.

a b c (Å): 7.430 7.430 8.127
angles (deg): 98.76 98.76 119.98
Fractional positions:
Ce  0.167  0.833  0.000
Ce  0.833  0.167  0.000
Ho  0.500  0.500  0.000
Tl  0.000  0.000  0.500
Tl  0.333  0.667  0.500
Tl  0.667  0.333  0.500
Se  0.107  0.431  0.794
Se  0.245  0.245  0.208
Se  0.431  0.107  0.794
Se  0.569  0.893  0.206
Se  0.755  0.755  0.792
Se  0.893  0.569  0.206

Summary:
symmetry: C2/m, No. 12
uncorrected formation energy: -1548 kJ/mol of formula units
calculated total energy: -5.04 eV per atom
total magnetic moment: 2.00 μB/f.u.



3.
The following is a DFT calculation (PBE) of a geometry-optimized CeHo3Tm3Se8 structure.

a b c (Å): 8.066 8.066 8.066
angles (deg): 60.10 60.10 60.10
Fractional positions:
Ce  0.000  0.000  0.000
Ho  0.000  0.000  0.500
Ho  0.000  0.500  0.000
Ho  0.500  0.000  0.000
Tm  0.000  0.500  0.500
Tm  0.500  0.000  0.500
Tm  0.500  0.500  0.000
Se  0.251  0.251  0.251
Se  0.261  0.261  0.737
Se  0.261  0.737  0.261
Se  0.263  0.739  0.739
Se  0.737  0.261  0.261
Se  0.739  0.263  0.739
Se  0.739  0.739  0.263
Se  0.749  0.749  0.749

Summary:
symmetry: R-3m, No. 166
uncorrected formation energy: -2558 kJ/mol of formula units
calculated total energy: -5.83 eV per atom
total magnetic moment: 1.39 μB/f.u.



4.
The following is a DFT calculation (PBE) of a geometry-optimized Ce2HoTm3Se6 structure.

a b c (Å): 9.174 9.174 8.264
angles (deg): 104.16 104.16 25.47
Fractional positions:
Ce  0.168  0.168  0.336
Ce  0.832  0.832  0.664
Ho  0.500  0.500  0.000
Tm  0.168  0.168  0.833
Tm  0.500  0.500  0.500
Tm  0.832  0.832  0.167
Se  0.004  0.004  0.750
Se  0.333  0.333  0.928
Se  0.338  0.338  0.407
Se  0.662  0.662  0.593
Se  0.667  0.667  0.072
Se  0.996  0.996  0.250

Summary:
symmetry: C2/m, No. 12
uncorrected formation energy: -2009 kJ/mol of formula units
calculated total energy: -5.97 eV per atom
total magnetic moment: 2.25 μB/f.u.



5.
The following is a DFT calculation (PBE) of a geometry-optimized Ce3Ho2TmSe6 structure.

a b c (Å): 7.073 7.073 7.262
angles (deg): 99.34 99.34 120.05
Fractional positions:
Ce  0.000  0.000  0.000
Ce  0.332  0.668  0.000
Ce  0.668  0.332  0.000
Ho  0.167  0.833  0.500
Ho  0.833  0.167  0.500
Tm  0.500  0.500  0.500
Se  0.091  0.422  0.266
Se  0.248  0.248  0.736
Se  0.422  0.091  0.266
Se  0.578  0.909  0.734
Se  0.752  0.752  0.264
Se  0.909  0.578  0.734

Summary:
symmetry: C2/m, No. 12
uncorrected formation energy: -2058 kJ/mol of formula units
calculated total energy: -6.14 eV per atom
total magnetic moment: 3.01 μB/f.u.



6.
The following is a DFT calculation (PBE) of a geometry-optimized Ce2HoTmSe4 structure.

a b c (Å): 7.066 4.067 7.274
angles (deg): 90.00 108.79 90.00
Fractional positions:
Ce  0.000  0.000  0.000
Ce  0.500  0.500  0.000
Ho  0.000  0.500  0.500
Tm  0.500  0.000  0.500
Se  0.247  0.000  0.735
Se  0.257  0.500  0.267
Se  0.743  0.500  0.733
Se  0.753  0.000  0.265

Summary:
symmetry: P2/m, No. 10
uncorrected formation energy: -1368 kJ/mol of formula units
calculated total energy: -6.13 eV per atom
total magnetic moment: 2.10 μB/f.u.



7.
The following is a DFT calculation (PBE) of a geometry-optimized CeHo4Tm3Se8 structure.

a b c (Å): 8.111 8.111 8.111
angles (deg): 60.08 60.08 60.08
Fractional positions:
Ce  0.000  0.000  0.000
Ho  0.000  0.000  0.500
Ho  0.000  0.500  0.000
Ho  0.500  0.000  0.000
Ho  0.500  0.500  0.500
Tm  0.000  0.500  0.500
Tm  0.500  0.000  0.500
Tm  0.500  0.500  0.000
Se  0.251  0.251  0.251
Se  0.254  0.254  0.744
Se  0.254  0.744  0.254
Se  0.256  0.746  0.746
Se  0.744  0.254  0.254
Se  0.746  0.256  0.746
Se  0.746  0.746  0.256
Se  0.749  0.749  0.749

Summary:
symmetry: R-3m, No. 166
uncorrected formation energy: -2638 kJ/mol of formula units
calculated total energy: -5.80 eV per atom
total magnetic moment: 0.54 μB/f.u.



8.
The following is a DFT calculation (PBE) of a geometry-optimized Ce2HoTmSe6 structure.

a b c (Å): 7.735 7.735 7.735
angles (deg): 56.68 56.68 56.68
Fractional positions:
Ce  0.000  0.000  0.000
Ce  0.499  0.499  0.499
Ho  0.201  0.201  0.201
Tm  0.700  0.700  0.700
Se  0.079  0.419  0.818
Se  0.319  0.916  0.582
Se  0.419  0.818  0.079
Se  0.582  0.319  0.916
Se  0.818  0.079  0.419
Se  0.916  0.582  0.319

Summary:
symmetry: R3, No. 146
uncorrected formation energy: -1729 kJ/mol of formula units
calculated total energy: -5.97 eV per atom
total magnetic moment: 2.00 μB/f.u.